# LiHfTl

LiHfTl after structural relaxation (PBE, the Alexandria database).

a b c (Å): 6.433 6.433 6.900
angles (deg): 106.97 106.97 29.10
Sites, in units of the cell vectors:
Li 0.158 0.158 0.331
Li 0.842 0.842 0.669
Hf 0.167 0.167 0.846
Hf 0.833 0.833 0.154
Tl 0.500 0.500 0.000
Tl 0.500 0.500 0.500

- symmetry = No. 12
- excess energy over the best structure of this formula in the dataset (eV/f.u.) = 0.51
- V (Å³ per cell) = 132
- E_form (eV per atom) = 0.06
- final energy (eV for the cell shown) = -28.122
- DOS at the Fermi energy (states/eV/f.u.) = 1.5
- total moment (μB per formula unit) = 0.00